## P
DFT (PBE) results for crystalline Sr5Tl3 at its relaxed geometry.

Unit cell a=4.164 b=4.164 c=18.106 alpha=90.00 beta=90.00 gamma=90.00
Space group P4/mmm (No. 123)
Inequivalent atoms, fractional coordinates:
Sr 0.000 0.000 0.000 x1
Sr 0.000 0.000 0.217 x2
Sr 0.500 0.500 0.394 x2
Tl 0.000 0.000 0.500 x1
Tl 0.500 0.500 0.113 x2

Output
- Spin magnetization: 0.000 μB/f.u.

***

## Q
DFT (PBE) results for crystalline Sr5Tl3 at its relaxed geometry.

Unit cell a=10.2160 b=10.2160 c=7.0770 alpha=90.00 beta=90.00 gamma=120.00
Space group P6_3/mcm (No. 193)
Inequivalent atoms, fractional coordinates:
Sr 0.0000 0.2674 0.2500 x6
Sr 0.3333 0.6667 0.0000 x4
Tl 0.0000 0.3921 0.7500 x6

Output
- Spin magnetization: 0.000 μB/f.u.

***

What should be chosen as the least stable of them? Choose Q.